Crystalline AlZn3Sb at its relaxed geometry. Source: Alexandria, functional PBE.

```
AlZn3Sb
1.0
5.252 0.000 0.000
0.000 5.252 0.000
0.000 0.000 5.252
Al Zn Sb
1 3 1
Cartesian
0.000 0.000 0.000
0.000 2.626 2.626
2.626 0.000 2.626
2.626 2.626 0.000
2.626 2.626 2.626
```

As for the final energy: -1.639 eV per atom. Its space group is Pm-3m. The value obtained for the energy relative to the lowest polymorph listed for this composition is 206 meV per atom. Its raw formation energy is 0.698 eV per atom.